*A*
Material: LiBH
Method: DFT, PBE
State: optimized geometry

a = 5.2860 Å, b = 3.0809 Å, c = 6.5854 Å
α = 90.00°, β = 90.00°, γ = 90.00°
Space group Pnma (No. 62)
One atom of each set of equivalent atoms:
Li 0.1813 0.2500 0.1749 (multiplicity 4)
B 0.0589 0.2500 0.5067 (multiplicity 4)
H 0.1997 0.7500 0.9953 (multiplicity 4)

Calculated values
- Volume: 26.8 Å³/f.u.
- Density of states at the Fermi level: 0.0262 states/eV/atom

=====

*B*
Material: LiBH
Method: DFT, PBE
State: optimized geometry

a = 2.7454 Å, b = 3.1367 Å, c = 12.7398 Å
α = 90.00°, β = 90.00°, γ = 90.00°
Space group Immm (No. 71)
One atom of each set of equivalent atoms:
Li 0.0000 0.0000 0.1677 (multiplicity 4)
B 0.0000 0.2516 0.5000 (multiplicity 4)
H 0.0000 0.5000 0.2397 (multiplicity 4)

Calculated values
- Volume: 27.4 Å³/f.u.
- Density of states at the Fermi level: 0.3445 states/eV/atom

=====

Quick ranking, most stable first: *A*, *B*.

=====

*A*
Material: LiB2H6
Method: DFT, PBE
State: optimized geometry

a = 8.1649 Å, b = 7.8143 Å, c = 4.4156 Å
α = 90.00°, β = 112.86°, γ = 90.00°
Space group C2/c (No. 15)
One atom of each set of equivalent atoms:
Li 0.0000 0.1803 0.2500 (multiplicity 4)
B 0.2494 0.0446 0.7723 (multiplicity 8)
H 0.1095 0.3834 0.1157 (multiplicity 8)
H 0.1147 0.1277 0.6934 (multiplicity 8)
H 0.2465 0.1094 0.2512 (multiplicity 8)

Calculated values
- Volume: 64.9 Å³/f.u.
- Density of states at the Fermi level: 0.1405 states/eV/atom

=====

*B*
Material: LiB2H6
Method: DFT, PBE
State: optimized geometry

a = 6.1301 Å, b = 15.9038 Å, c = 6.6897 Å
α = 90.00°, β = 90.00°, γ = 90.00°
Space group Fdd2 (No. 43)
One atom of each set of equivalent atoms:
Li 0.0000 0.0000 0.0000 (multiplicity 8)
B 0.0369 0.3638 0.4344 (multiplicity 16)
H 0.0249 0.2879 0.4356 (multiplicity 16)
H 0.0820 0.1471 0.2930 (multiplicity 16)
H 0.0874 0.0975 0.8290 (multiplicity 16)

Calculated values
- Volume: 81.5 Å³/f.u.
- Density of states at the Fermi level: 0.1933 states/eV/atom

=====

Quick ranking, most stable first: *B*, *A*.

=====

*A*
Material: LiB2H6
Method: DFT, PBE
State: optimized geometry

a = 2.9585 Å, b = 3.9818 Å, c = 5.6649 Å
α = 107.78°, β = 103.24°, γ = 92.74°
Space group P-1 (No. 2)
One atom of each set of equivalent atoms:
Li 0.0000 0.0000 0.0000 (multiplicity 1)
B 0.4285 0.4804 0.8383 (multiplicity 2)
H 0.1182 0.5581 0.2063 (multiplicity 2)
H 0.3058 0.2016 0.6603 (multiplicity 2)
H 0.3899 0.7386 0.7622 (multiplicity 2)

Calculated values
- Volume: 61.4 Å³/f.u.
- Density of states at the Fermi level: 0.1181 states/eV/atom

=====

*B*
Material: LiB2H6
Method: DFT, PBE
State: optimized geometry

a = 5.4996 Å, b = 5.4996 Å, c = 5.4996 Å
α = 90.00°, β = 90.00°, γ = 90.00°
Space group Fm-3m (No. 225)
One atom of each set of equivalent atoms:
Li 0.0000 0.0000 0.0000 (multiplicity 4)
B 0.2500 0.2500 0.2500 (multiplicity 8)
H 0.0000 0.0000 0.2928 (multiplicity 24)

Calculated values
- Volume: 41.6 Å³/f.u.
- Density of states at the Fermi level: 0.1764 states/eV/atom

=====

Quick ranking, most stable first: *A*, *B*.

=====

*A*
Material: LiBH4
Method: DFT, PBE
State: optimized geometry

a = 4.1625 Å, b = 4.1625 Å, c = 7.2738 Å
α = 90.00°, β = 90.00°, γ = 120.00°
Space group P6_3mc (No. 186)
One atom of each set of equivalent atoms:
Li 0.3333 0.6667 0.0000 (multiplicity 2)
B 0.3333 0.6667 0.4262 (multiplicity 2)
H 0.1739 0.3478 0.4837 (multiplicity 6)
H 0.3333 0.6667 0.2591 (multiplicity 2)

Calculated values
- Volume: 54.6 Å³/f.u.
- Density of states at the Fermi level: 0.0000 states/eV/atom

=====

*B*
Material: LiBH4
Method: DFT, PBE
State: optimized geometry

a = 4.1512 Å, b = 4.0181 Å, c = 4.5074 Å
α = 90.00°, β = 109.45°, γ = 90.00°
Space group P2_1/c (No. 14)
One atom of each set of equivalent atoms:
Li 0.0000 0.0000 0.0000 (multiplicity 2)
B 0.5000 0.0000 0.5000 (multiplicity 2)
H 0.1982 0.1133 0.4137 (multiplicity 4)
H 0.4132 0.7428 0.2294 (multiplicity 4)

Calculated values
- Volume: 35.4 Å³/f.u.

=====

*C*
Material: LiBH4
Method: DFT, PBE
State: optimized geometry

a = 8.5747 Å, b = 4.3115 Å, c = 5.6336 Å
α = 90.00°, β = 90.00°, γ = 90.00°
Space group Pnma (No. 62)
One atom of each set of equivalent atoms:
Li 0.1420 0.2500 0.0814 (multiplicity 4)
B 0.1361 0.7500 0.8439 (multiplicity 4)
H 0.0317 0.7500 0.6964 (multiplicity 4)
H 0.0874 0.7500 0.0488 (multiplicity 4)
H 0.2178 0.5193 0.8150 (multiplicity 8)

Calculated values
- Volume: 52.1 Å³/f.u.
- Density of states at the Fermi level: 0.0000 states/eV/atom

=====

*D*
Material: LiBH4
Method: DFT, PBE
State: optimized geometry

a = 6.6699 Å, b = 6.6699 Å, c = 4.6225 Å
α = 90.00°, β = 90.00°, γ = 90.00°
Space group I4_1/amd (No. 141, origin choice 2)
One atom of each set of equivalent atoms:
Li 0.0000 0.2500 0.3750 (multiplicity 4)
B 0.0000 0.2500 0.8750 (multiplicity 4)
H 0.0000 0.0973 0.7261 (multiplicity 16)

Calculated values
- Volume: 51.4 Å³/f.u.
- Density of states at the Fermi level: 0.0000 states/eV/atom

=====

Quick ranking, most stable first: *C*, *A*, *D*, *B*.

=====

*A*
Material: LiBH4
Method: DFT, PBE
State: optimized geometry

a = 6.2585 Å, b = 5.6415 Å, c = 5.6152 Å
α = 90.00°, β = 90.00°, γ = 90.00°
Space group Ama2 (No. 40)
One atom of each set of equivalent atoms:
Li 0.0000 0.0000 0.0000 (multiplicity 4)
B 0.2500 0.2362 0.7561 (multiplicity 4)
H 0.0909 0.3190 0.8521 (multiplicity 8)
H 0.2500 0.0194 0.7616 (multiplicity 4)
H 0.2500 0.2801 0.5432 (multiplicity 4)

Calculated values
- Volume: 49.6 Å³/f.u.
- Density of states at the Fermi level: 0.0000 states/eV/atom

=====

*B*
Material: LiBH4
Method: DFT, PBE
State: optimized geometry

a = 7.1633 Å, b = 4.3284 Å, c = 6.5759 Å
α = 90.00°, β = 90.00°, γ = 90.00°
Space group Pnma (No. 62)
One atom of each set of equivalent atoms:
Li 0.1558 0.2500 0.1126 (multiplicity 4)
B 0.1916 0.7500 0.9245 (multiplicity 4)
H 0.0909 0.7500 0.0749 (multiplicity 4)
H 0.0974 0.7500 0.7685 (multiplicity 4)
H 0.2060 0.0234 0.4237 (multiplicity 8)

Calculated values
- Volume: 51.0 Å³/f.u.
- Density of states at the Fermi level: 0.0000 states/eV/atom

=====

*C*
Material: LiBH4
Method: DFT, PBE
State: optimized geometry

a = 4.6307 Å, b = 4.3869 Å, c = 4.9681 Å
α = 90.00°, β = 93.89°, γ = 90.00°
Space group P2_1/m (No. 11)
One atom of each set of equivalent atoms:
Li 0.2384 0.2500 0.0638 (multiplicity 2)
B 0.2529 0.7500 0.8070 (multiplicity 2)
H 0.1021 0.5242 0.7574 (multiplicity 4)
H 0.3410 0.7500 0.0469 (multiplicity 2)
H 0.4486 0.7500 0.6548 (multiplicity 2)

Calculated values
- Volume: 50.3 Å³/f.u.
- Density of states at the Fermi level: 0.0000 states/eV/atom

=====

Quick ranking, most stable first: *B*, *C*, *A*.

=====

*A*
Material: LiBH4
Method: DFT, PBE
State: optimized geometry

a = 5.6882 Å, b = 5.6882 Å, c = 5.6882 Å
α = 90.00°, β = 90.00°, γ = 90.00°
Space group F-43m (No. 216)
One atom of each set of equivalent atoms:
Li 0.0000 0.0000 0.0000 (multiplicity 4)
B 0.0000 0.0000 0.5000 (multiplicity 4)
H 0.1235 0.1235 0.6235 (multiplicity 16)

Calculated values
- Volume: 46.0 Å³/f.u.
- Density of states at the Fermi level: 0.0000 states/eV/atom

=====

*B*
Material: LiBH4
Method: DFT, PBE
State: optimized geometry

a = 8.6889 Å, b = 4.2707 Å, c = 6.9522 Å
α = 90.00°, β = 94.22°, γ = 90.00°
Space group P2/c (No. 13)
One atom of each set of equivalent atoms:
Li 0.1288 0.2504 0.4921 (multiplicity 4)
B 0.0929 0.2495 0.8126 (multiplicity 4)
H 0.0954 0.2502 0.9905 (multiplicity 4)
H 0.1736 0.0224 0.7725 (multiplicity 4)
H 0.1738 0.4761 0.7720 (multiplicity 4)
H 0.3727 0.2509 0.4129 (multiplicity 4)

Calculated values
- Volume: 64.3 Å³/f.u.

=====

Quick ranking, most stable first: *A*, *B*.

=====

*A*
Material: LiBH3
Method: DFT, PBE
State: optimized geometry

a = 3.1809 Å, b = 3.1809 Å, c = 3.1809 Å
α = 90.00°, β = 90.00°, γ = 90.00°
Space group Pm-3m (No. 221)
One atom of each set of equivalent atoms:
Li 0.0000 0.0000 0.0000 (multiplicity 1)
B 0.5000 0.5000 0.5000 (multiplicity 1)
H 0.0000 0.0000 0.5000 (multiplicity 3)

Calculated values
- Volume: 32.2 Å³/f.u.
- Density of states at the Fermi level: 0.1663 states/eV/atom

=====

*B*
Material: LiBH3
Method: DFT, PBE
State: optimized geometry

a = 3.0910 Å, b = 3.0910 Å, c = 3.0910 Å
α = 90.00°, β = 90.00°, γ = 90.00°
Space group Pm-3m (No. 221)
One atom of each set of equivalent atoms:
Li 0.0000 0.0000 0.0000 (multiplicity 1)
B 0.5000 0.5000 0.5000 (multiplicity 1)
H 0.0000 0.5000 0.5000 (multiplicity 3)

Calculated values
- Volume: 29.5 Å³/f.u.
- Density of states at the Fermi level: 0.1402 states/eV/atom

=====

*C*
Material: LiBH3
Method: DFT, PBE
State: optimized geometry

a = 4.2324 Å, b = 4.2385 Å, c = 4.8510 Å
α = 75.23°, β = 75.28°, γ = 60.51°
Space group P-1 (No. 2)
One atom of each set of equivalent atoms:
Li 0.1973 0.1985 0.2811 (multiplicity 2)
B 0.0901 0.0920 0.8347 (multiplicity 2)
H 0.1539 0.6875 0.3132 (multiplicity 2)
H 0.2566 0.2572 0.8492 (multiplicity 2)
H 0.3084 0.8516 0.6844 (multiplicity 2)

Calculated values
- Volume: 36.2 Å³/f.u.
- Density of states at the Fermi level: 0.0000 states/eV/atom

=====

*D*
Material: LiBH3
Method: DFT, PBE
State: optimized geometry

a = 5.5706 Å, b = 6.6974 Å, c = 4.1791 Å
α = 90.00°, β = 90.00°, γ = 90.00°
Space group Pnma (No. 62)
One atom of each set of equivalent atoms:
Li 0.0000 0.0000 0.0000 (multiplicity 4)
B 0.2049 0.2500 0.2625 (multiplicity 4)
H 0.1700 0.0946 0.4034 (multiplicity 8)
H 0.2206 0.2500 0.9731 (multiplicity 4)

Calculated values
- Volume: 39.0 Å³/f.u.
- Density of states at the Fermi level: 0.1402 states/eV/atom

=====

Quick ranking, most stable first: *C*, *D*, *B*, *A*.